Entry 1:
# PBE Sc2BRuPb, optimized geometry
data_Sc2BRuPb
_cell_length_a 4.707
_cell_length_b 4.707
_cell_length_c 4.090
_cell_angle_alpha 90.00
_cell_angle_beta 90.00
_cell_angle_gamma 90.00
_space_group_name_H-M_alt 'P 4/m m m'
_space_group_IT_number 123
_space_group_name_Hall '-P 4 2'
loop_
_atom_site_label
_atom_site_type_symbol
_atom_site_fract_x
_atom_site_fract_y
_atom_site_fract_z
_atom_site_occupancy
Sc1 Sc 0.000 0.500 0.000 1
B1 B 0.000 0.000 0.000 1
Ru1 Ru 0.000 0.000 0.500 1
Pb1 Pb 0.500 0.500 0.500 1
# - offset from the most stable computed form (eV per formula unit) = 0.000
# - calculated volume (A^3/atom) = 18.12
# - E (eV/atom) = -6.871
# - total moment (μB per cell) = 0.000



Entry 2:
# PBE BRuPbSe2, optimized geometry
data_BRuPbSe2
_cell_length_a 5.144
_cell_length_b 5.144
_cell_length_c 3.974
_cell_angle_alpha 90.00
_cell_angle_beta 90.00
_cell_angle_gamma 90.00
_space_group_name_H-M_alt 'P 4/m m m'
_space_group_IT_number 123
_space_group_name_Hall '-P 4 2'
loop_
_atom_site_label
_atom_site_type_symbol
_atom_site_fract_x
_atom_site_fract_y
_atom_site_fract_z
_atom_site_occupancy
B1 B 0.000 0.000 0.000 1
Ru1 Ru 0.000 0.000 0.500 1
Pb1 Pb 0.500 0.500 0.000 1
Se1 Se 0.000 0.500 0.500 1
# - calculated volume (A^3/atom) = 21.03
# - E (eV/atom) = -5.006
# - total moment (μB per cell) = 0.000
# - raw formation energy (eV/atom) = 0.320



Entry 3:
# PBE Y2BRuPb, optimized geometry
data_Y2BRuPb
_cell_length_a 5.100
_cell_length_b 5.100
_cell_length_c 4.100
_cell_angle_alpha 90.00
_cell_angle_beta 90.00
_cell_angle_gamma 90.00
_space_group_name_H-M_alt 'P 4/m m m'
_space_group_IT_number 123
_space_group_name_Hall '-P 4 2'
loop_
_atom_site_label
_atom_site_type_symbol
_atom_site_fract_x
_atom_site_fract_y
_atom_site_fract_z
_atom_site_occupancy
Y1 Y 0.000 0.500 0.000 1
B1 B 0.000 0.000 0.000 1
Ru1 Ru 0.000 0.000 0.500 1
Pb1 Pb 0.500 0.500 0.500 1
# - calculated volume (A^3/atom) = 21.33
# - E (eV/atom) = -6.895
# - total moment (μB per cell) = 0.000



Entry 4:
# PBE ZrBRuPb2, optimized geometry
data_ZrBRuPb2
_cell_length_a 5.138
_cell_length_b 5.138
_cell_length_c 4.084
_cell_angle_alpha 90.00
_cell_angle_beta 90.00
_cell_angle_gamma 90.00
_space_group_name_H-M_alt 'P 4/m m m'
_space_group_IT_number 123
_space_group_name_Hall '-P 4 2'
loop_
_atom_site_label
_atom_site_type_symbol
_atom_site_fract_x
_atom_site_fract_y
_atom_site_fract_z
_atom_site_occupancy
Zr1 Zr 0.000 0.000 0.000 1
B1 B 0.500 0.500 0.500 1
Ru1 Ru 0.500 0.500 0.000 1
Pb1 Pb 0.000 0.500 0.500 1
# - calculated volume (A^3/atom) = 21.57
# - E (eV/atom) = -5.842
# - total moment (μB per cell) = 0.095



Entry 5:
# PBE BPbS3, optimized geometry
data_BPbS3
_cell_length_a 4.391
_cell_length_b 4.391
_cell_length_c 4.391
_cell_angle_alpha 90.00
_cell_angle_beta 90.00
_cell_angle_gamma 90.00
_space_group_name_H-M_alt 'P m -3 m'
_space_group_IT_number 221
_space_group_name_Hall '-P 4 2 3'
loop_
_atom_site_label
_atom_site_type_symbol
_atom_site_fract_x
_atom_site_fract_y
_atom_site_fract_z
_atom_site_occupancy
B1 B 0.000 0.000 0.000 1
Pb1 Pb 0.500 0.500 0.500 1
S1 S 0.000 0.000 0.500 1
# - offset from the most stable computed form (eV per formula unit) = 3.727
# - calculated volume (A^3/atom) = 16.93
# - E (eV/atom) = -4.208
# - total moment (μB per cell) = 0.000
# - raw formation energy (eV/atom) = 0.345



Entry 6:
# PBE B3PbS, optimized geometry
data_B3PbS
_cell_length_a 4.027
_cell_length_b 4.027
_cell_length_c 4.027
_cell_angle_alpha 90.00
_cell_angle_beta 90.00
_cell_angle_gamma 90.00
_space_group_name_H-M_alt 'P m -3 m'
_space_group_IT_number 221
_space_group_name_Hall '-P 4 2 3'
loop_
_atom_site_label
_atom_site_type_symbol
_atom_site_fract_x
_atom_site_fract_y
_atom_site_fract_z
_atom_site_occupancy
B1 B 0.000 0.000 0.500 1
Pb1 Pb 0.500 0.500 0.500 1
S1 S 0.000 0.000 0.000 1
# - offset from the most stable computed form (eV per formula unit) = 0.000
# - calculated volume (A^3/atom) = 13.06
# - E (eV/atom) = -3.929
# - total moment (μB per cell) = 0.000
# - raw formation energy (eV/atom) = 1.645